(1)
This record from Alexandria via LeMat-Bulk describes a relaxed structure of MoPdO2F. The functional is PBE with a Hubbard U.

a = 4.0734 Å, b = 4.0734 Å, c = 4.0561 Å
α = 90.00°, β = 90.00°, γ = 90.00°
Each line ends with the local moment (μB).
Fractional coordinates of all 5 atoms:
Mo (0.5000, 0.5000, 0.5000)  3.69
O (0.0000, 0.5000, 0.0000)  -0.16
O (0.5000, 0.0000, 0.0000)  -0.16
Pd (0.0000, 0.0000, 0.0000)  -0.06
F (0.0000, 0.0000, 0.5000)  0.04

Computed properties:
**M_tot**: 3.70 μB/cell
**Calculated density**: 6.3 g/cm3
**Uncorrected energy**: -25.184 eV per formula unit

***

(2)
This record from Alexandria via LeMat-Bulk describes a relaxed structure of MoPdO2F. The functional is PBE with a Hubbard U.

a = 3.9944 Å, b = 3.9944 Å, c = 4.1831 Å
α = 90.00°, β = 90.00°, γ = 90.00°
Each line ends with the local moment (μB).
Fractional coordinates of all 5 atoms:
Mo (0.0000, 0.0000, 0.0000)  1.84
O (0.0000, 0.5000, 0.0000)  -0.14
O (0.5000, 0.0000, 0.0000)  -0.14
Pd (0.5000, 0.5000, 0.5000)  -0.59
F (0.0000, 0.0000, 0.5000)  0.03

Computed properties:
**M_tot**: 0.99 μB/cell
**Calculated density**: 6.3 g/cm3
**Uncorrected energy**: -28.895 eV per formula unit

***

(3)
This record from Alexandria via LeMat-Bulk describes a relaxed structure of PmMoO4F. The functional is PBE with a Hubbard U.

a = 6.1876 Å, b = 6.1876 Å, c = 7.1111 Å
α = 75.97°, β = 75.97°, γ = 75.22°
Fractional coordinates of all 14 atoms:
Pm (0.2042, 0.2042, 0.8938)
Pm (0.7958, 0.7958, 0.1062)
Mo (0.6519, 0.6519, 0.7205)
Mo (0.3481, 0.3481, 0.2795)
O (0.2623, 0.2623, 0.5380)
O (0.7377, 0.7377, 0.4620)
O (0.1081, 0.4791, 0.1567)
O (0.5371, 0.5371, 0.2276)
O (0.5209, 0.8919, 0.8433)
O (0.4791, 0.1081, 0.1567)
O (0.4629, 0.4629, 0.7724)
O (0.8919, 0.5209, 0.8433)
F (0.0122, 0.0122, 0.1737)
F (0.9878, 0.9878, 0.8263)

Computed properties:
**M_tot**: 0.00 μB/cell
**Calculated density**: 4.3 g/cm3
**Uncorrected energy**: -51.714 eV per formula unit

***

(4)
This record from Alexandria via LeMat-Bulk describes a relaxed structure of MoPtO2F. The functional is PBE with a Hubbard U.

a = 3.9144 Å, b = 3.9144 Å, c = 4.2482 Å
α = 90.00°, β = 90.00°, γ = 90.00°
Fractional coordinates of all 5 atoms:
Mo (0.0000, 0.0000, 0.0000)
O (0.0000, 0.5000, 0.0000)
O (0.5000, 0.0000, 0.0000)
Pt (0.5000, 0.5000, 0.5000)
F (0.0000, 0.0000, 0.5000)

Computed properties:
**M_tot**: 0.00 μB/cell
**Calculated density**: 8.7 g/cm3
**Uncorrected energy**: -27.090 eV per formula unit

***

(5)
This record from Alexandria via LeMat-Bulk describes a relaxed structure of MoPtO2F. The functional is PBE with a Hubbard U.

a = 3.9971 Å, b = 3.9971 Å, c = 4.4580 Å
α = 90.00°, β = 90.00°, γ = 90.00°
Each line ends with the local moment (μB).
Fractional coordinates of all 5 atoms:
Mo (0.5000, 0.5000, 0.5000)  3.68
O (0.0000, 0.5000, 0.0000)  -0.08
O (0.5000, 0.0000, 0.0000)  -0.08
Pt (0.0000, 0.0000, 0.0000)  -0.29
F (0.0000, 0.0000, 0.5000)  0.02

Computed properties:
**M_tot**: 3.57 μB/cell
**Calculated density**: 8.0 g/cm3
**Uncorrected energy**: -25.371 eV per formula unit

***

(6)
This record from Alexandria via LeMat-Bulk describes a relaxed structure of Rb2MoO2F4. The functional is PBE with a Hubbard U.

a = 7.9291 Å, b = 7.9291 Å, c = 7.2161 Å
α = 90.00°, β = 90.00°, γ = 134.25°
Fractional coordinates of all 18 atoms:
Rb (0.4446, 0.5472, 0.2500)
Rb (0.5472, 0.4446, 0.7500)
Rb (0.7554, 0.2135, 0.2500)
Rb (0.2135, 0.7554, 0.7500)
Mo (0.1191, 0.8857, 0.2500)
Mo (0.8857, 0.1191, 0.7500)
O (0.0662, 0.3018, 0.9372)
O (0.3018, 0.0662, 0.0628)
O (0.3018, 0.0662, 0.4372)
O (0.0662, 0.3018, 0.5628)
F (0.9376, 0.9665, 0.2500)
F (0.9665, 0.9376, 0.7500)
F (0.8620, 0.6145, 0.0700)
F (0.6145, 0.8620, 0.9300)
F (0.6145, 0.8620, 0.5700)
F (0.8620, 0.6145, 0.4300)
F (0.2215, 0.7169, 0.2500)
F (0.7169, 0.2215, 0.7500)

Computed properties:
**M_tot**: 0.09 μB/cell
**Offset from the most stable computed form**: 0 meV/atom
**Calculated density**: 3.8 g/cm3
**Uncorrected energy**: -48.177 eV per formula unit

***

(7)
This record from Alexandria via LeMat-Bulk describes a relaxed structure of Rb2MoO2F4. The functional is PBE with a Hubbard U.

a = 8.0751 Å, b = 8.0751 Å, c = 7.1812 Å
α = 89.76°, β = 89.76°, γ = 135.69°
Fractional coordinates of all 18 atoms:
Mo (0.8863, 0.1137, 0.2500)
Mo (0.1137, 0.8863, 0.7500)
O (0.0833, 0.3376, 0.0720)
O (0.3376, 0.0833, 0.5720)
O (0.9167, 0.6624, 0.9280)
O (0.6624, 0.9167, 0.4280)
Rb (0.5588, 0.4412, 0.2500)
Rb (0.4412, 0.5588, 0.7500)
Rb (0.2325, 0.7675, 0.2500)
Rb (0.7675, 0.2325, 0.7500)
F (0.7510, 0.2490, 0.2500)
F (0.2490, 0.7510, 0.7500)
F (0.0155, 0.9845, 0.2500)
F (0.9845, 0.0155, 0.7500)
F (0.3461, 0.1196, 0.9408)
F (0.1196, 0.3461, 0.4408)
F (0.6539, 0.8804, 0.0592)
F (0.8804, 0.6539, 0.5592)

Computed properties:
**M_tot**: 0.12 μB/cell
**Offset from the most stable computed form**: 121 meV/atom
**Calculated density**: 3.8 g/cm3
**Uncorrected energy**: -47.094 eV per formula unit

***

(8)
This record from Alexandria via LeMat-Bulk describes a relaxed structure of Rb2MoOF5. The functional is PBE with a Hubbard U.

a = 6.3024 Å, b = 6.3024 Å, c = 6.3024 Å
α = 90.49°, β = 119.72°, γ = 119.72°
Each line ends with the local moment (μB).
Fractional coordinates of all 9 atoms:
Rb (0.5000, 0.2406, 0.7406)  0.00
Rb (0.5000, 0.7406, 0.2406)  0.00
Mo (0.0000, 0.9847, 0.9847)  1.01
O (0.0000, 0.7884, 0.7884)  -0.08
F (0.4448, 0.2302, 0.2302)  0.02
F (0.5552, 0.7854, 0.7854)  0.02
F (0.0000, 0.7854, 0.2302)  0.02
F (0.0000, 0.2302, 0.7854)  0.02
F (0.0000, 0.2144, 0.2144)  -0.01

Computed properties:
**M_tot**: 1.00 μB/cell
**Calculated density**: 3.5 g/cm3
**Uncorrected energy**: -46.687 eV per formula unit

***

(9)
This record from Alexandria via LeMat-Bulk describes a relaxed structure of Rb2MoO2F4. The functional is PBE with a Hubbard U.

a = 7.9273 Å, b = 7.9273 Å, c = 7.2577 Å
α = 90.00°, β = 90.00°, γ = 134.77°
Fractional coordinates of all 18 atoms:
Rb (0.7729, 0.2271, 0.4968)
Rb (0.2271, 0.7729, 0.9968)
Rb (0.5510, 0.4490, 0.9996)
Rb (0.4490, 0.5510, 0.4996)
Mo (0.8827, 0.1173, 0.9854)
Mo (0.1173, 0.8827, 0.4854)
O (0.8960, 0.6564, 0.3335)
O (0.1040, 0.3436, 0.8335)
O (0.6564, 0.8960, 0.8335)
O (0.3436, 0.1040, 0.3335)
F (0.7479, 0.2521, 0.0220)
F (0.2521, 0.7479, 0.5220)
F (0.0980, 0.3421, 0.2047)
F (0.9020, 0.6579, 0.7047)
F (0.3421, 0.0980, 0.7047)
F (0.6579, 0.9020, 0.2047)
F (0.9861, 0.0139, 0.5258)
F (0.0139, 0.9861, 0.0258)

Computed properties:
**M_tot**: 0.08 μB/cell
**Offset from the most stable computed form**: 0 meV/atom
**Calculated density**: 3.8 g/cm3
**Uncorrected energy**: -48.178 eV per formula unit

***

(10)
This record from Alexandria via LeMat-Bulk describes a relaxed structure of Rb2MoOF6. The functional is PBE with a Hubbard U.

a = 6.2936 Å, b = 6.2936 Å, c = 6.5810 Å
α = 61.43°, β = 61.43°, γ = 90.00°
Each line ends with the local moment (μB).
Fractional coordinates of all 10 atoms:
Mo (0.0000, 0.0000, 0.0000)  -1.88
O (0.5000, 0.5000, 0.0000)  -1.51
Rb (0.7500, 0.2500, 0.5000)  0.00
Rb (0.2500, 0.7500, 0.5000)  0.00
F (0.2097, 0.2097, 0.5806)  -0.04
F (0.7903, 0.7903, 0.4194)  -0.04
F (0.2223, 0.2223, 0.0000)  -0.03
F (0.7777, 0.7777, 0.0000)  -0.03
F (0.7777, 0.2223, 0.0000)  -0.03
F (0.2223, 0.7777, 0.0000)  -0.03

Computed properties:
**M_tot**: 4.00 μB/cell
**Calculated density**: 3.4 g/cm3
**Uncorrected energy**: -46.708 eV per formula unit

***

(11)
This record from Alexandria via LeMat-Bulk describes a relaxed structure of Rb2MoO2F4. The functional is PBE with a Hubbard U.

a = 4.9629 Å, b = 6.1450 Å, c = 6.1450 Å
α = 59.23°, β = 88.37°, γ = 88.37°
Fractional coordinates of all 9 atoms:
Rb (0.1925, 0.6730, 0.6730)
Rb (0.8075, 0.3270, 0.3270)
Mo (0.5000, 0.0000, 0.0000)
O (0.2943, 0.1440, 0.1440)
O (0.7057, 0.8560, 0.8560)
F (0.2756, 0.6945, 0.1630)
F (0.7244, 0.8370, 0.3055)
F (0.7244, 0.3055, 0.8370)
F (0.2756, 0.1630, 0.6945)

Computed properties:
**M_tot**: 0.07 μB/cell
**Offset from the most stable computed form**: 119 meV/atom
**Calculated density**: 3.9 g/cm3
**Uncorrected energy**: -47.107 eV per formula unit

***

(12)
This record from Alexandria via LeMat-Bulk describes a relaxed structure of ReMoOF2. The functional is PBE with a Hubbard U.

a = 4.3665 Å, b = 4.3665 Å, c = 3.8123 Å
α = 90.00°, β = 90.00°, γ = 90.00°
Each line ends with the local moment (μB).
Fractional coordinates of all 5 atoms:
Re (0.0000, 0.0000, 0.0000)  -0.03
Mo (0.5000, 0.5000, 0.5000)  4.27
O (0.0000, 0.0000, 0.5000)  0.01
F (0.0000, 0.5000, 0.0000)  0.04
F (0.5000, 0.0000, 0.0000)  0.04

Computed properties:
**M_tot**: 4.99 μB/cell
**Offset from the most stable computed form**: 0 meV/atom
**Calculated density**: 7.7 g/cm3
**Uncorrected energy**: -30.969 eV per formula unit

***

(13)
This record from Alexandria via LeMat-Bulk describes a relaxed structure of ReMoOF2. The functional is PBE with a Hubbard U.

a = 4.4165 Å, b = 4.4165 Å, c = 3.9568 Å
α = 90.00°, β = 90.00°, γ = 90.00°
Each line ends with the local moment (μB).
Fractional coordinates of all 5 atoms:
Re (0.5000, 0.5000, 0.5000)  4.34
Mo (0.0000, 0.0000, 0.0000)  0.56
O (0.0000, 0.0000, 0.5000)  0.07
F (0.0000, 0.5000, 0.0000)  0.10
F (0.5000, 0.0000, 0.0000)  0.10

Computed properties:
**M_tot**: 6.24 μB/cell
**Offset from the most stable computed form**: 520 meV/atom
**Calculated density**: 7.2 g/cm3
**Uncorrected energy**: -28.367 eV per formula unit

***

(14)
This record from Alexandria via LeMat-Bulk describes a relaxed structure of MoRhO2F. The functional is PBE with a Hubbard U.

a = 3.9142 Å, b = 3.9142 Å, c = 4.2510 Å
α = 90.00°, β = 90.00°, γ = 90.00°
Each line ends with the local moment (μB).
Fractional coordinates of all 5 atoms:
Mo (0.0000, 0.0000, 0.0000)  0.02
Rh (0.5000, 0.5000, 0.5000)  0.15
O (0.0000, 0.5000, 0.0000)  -0.02
O (0.5000, 0.0000, 0.0000)  -0.02
F (0.0000, 0.0000, 0.5000)  0.02

Computed properties:
**M_tot**: 0.16 μB/cell
**Calculated density**: 6.4 g/cm3
**Uncorrected energy**: -28.647 eV per formula unit

***

(15)
This record from Alexandria via LeMat-Bulk describes a relaxed structure of MoRhO2F. The functional is PBE with a Hubbard U.

a = 3.9788 Å, b = 3.9788 Å, c = 4.2036 Å
α = 90.00°, β = 90.00°, γ = 90.00°
Each line ends with the local moment (μB).
Fractional coordinates of all 5 atoms:
Mo (0.5000, 0.5000, 0.5000)  3.91
Rh (0.0000, 0.0000, 0.0000)  -0.96
O (0.0000, 0.5000, 0.0000)  -0.28
O (0.5000, 0.0000, 0.0000)  -0.28
F (0.0000, 0.0000, 0.5000)  0.02

Computed properties:
**M_tot**: 2.76 μB/cell
**Calculated density**: 6.2 g/cm3
**Uncorrected energy**: -27.960 eV per formula unit

***

(16)
This record from Alexandria via LeMat-Bulk describes a relaxed structure of MoRuOF2. The functional is PBE with a Hubbard U.

a = 4.2639 Å, b = 4.2639 Å, c = 3.8751 Å
α = 90.00°, β = 90.00°, γ = 90.00°
Each line ends with the local moment (μB).
Fractional coordinates of all 5 atoms:
Ru (0.5000, 0.5000, 0.5000)  0.17
Mo (0.0000, 0.0000, 0.0000)  0.41
O (0.0000, 0.0000, 0.5000)  -0.05
F (0.0000, 0.5000, 0.0000)  0.04
F (0.5000, 0.0000, 0.0000)  0.04

Computed properties:
**M_tot**: 0.58 μB/cell
**Calculated density**: 5.9 g/cm3
**Uncorrected energy**: -26.162 eV per formula unit

***

(17)
This record from Alexandria via LeMat-Bulk describes a relaxed structure of MoSO5F. The functional is PBE with a Hubbard U.

a = 5.5777 Å, b = 5.5777 Å, c = 7.4705 Å
α = 107.36°, β = 107.36°, γ = 101.26°
Each line ends with the local moment (μB).
Fractional coordinates of all 16 atoms:
Mo (0.0000, 0.0000, 0.5000)  1.84
Mo (0.0000, 0.0000, 0.0000)  1.84
S (0.6798, 0.3202, 0.2500)  0.01
S (0.3202, 0.6798, 0.7500)  0.01
O (0.0562, 0.9438, 0.2500)  -0.17
O (0.9438, 0.0562, 0.7500)  -0.17
O (0.8557, 0.3001, 0.1340)  0.01
O (0.1443, 0.6999, 0.8660)  0.01
O (0.6999, 0.1443, 0.3660)  0.01
O (0.3001, 0.8557, 0.6340)  0.01
O (0.7588, 0.5979, 0.3912)  0.02
O (0.2412, 0.4021, 0.6088)  0.02
O (0.4021, 0.2412, 0.1088)  0.02
O (0.5979, 0.7588, 0.8912)  0.02
F (0.3132, 0.6868, 0.2500)  0.47
F (0.6868, 0.3132, 0.7500)  0.47

Computed properties:
**M_tot**: 4.66 μB/cell
**Calculated density**: 3.7 g/cm3
**Uncorrected energy**: -47.290 eV per formula unit

***

(18)
This record from Alexandria via LeMat-Bulk describes a relaxed structure of MoS2O8F. The functional is PBE with a Hubbard U.

a = 5.0226 Å, b = 5.0226 Å, c = 7.7141 Å
α = 85.57°, β = 85.57°, γ = 63.58°
Each line ends with the local moment (μB).
Fractional coordinates of all 12 atoms:
Mo (0.0000, 0.0000, 0.0000)  1.83
S (0.6309, 0.6309, 0.2106)  0.01
S (0.3691, 0.3691, 0.7894)  0.01
O (0.7000, 0.2495, 0.8205)  -0.01
O (0.7571, 0.7571, 0.0605)  0.01
O (0.6842, 0.6842, 0.3793)  0.01
O (0.3158, 0.3158, 0.6207)  0.01
O (0.2429, 0.2429, 0.9395)  0.01
O (0.2495, 0.7000, 0.8205)  -0.01
O (0.7505, 0.3000, 0.1795)  -0.01
O (0.3000, 0.7505, 0.1795)  -0.01
F (0.0000, 0.0000, 0.5000)  0.67

Computed properties:
**M_tot**: 2.69 μB/cell
**Calculated density**: 2.9 g/cm3
**Uncorrected energy**: -70.830 eV per formula unit

***

(19)
This record from Alexandria via LeMat-Bulk describes a relaxed structure of MoS2O6F2. The functional is PBE with a Hubbard U.

a = 5.2984 Å, b = 5.2984 Å, c = 7.1176 Å
α = 90.00°, β = 90.00°, γ = 120.00°
Each line ends with the local moment (μB).
Fractional coordinates of all 11 atoms:
Mo (0.0000, 0.0000, 0.0000)  1.90
S (0.3333, 0.6667, 0.7723)  -0.01
S (0.6667, 0.3333, 0.2277)  -0.01
O (0.2976, 0.3821, 0.8195)  0.00
O (0.0845, 0.7024, 0.8195)  0.00
O (0.6179, 0.9155, 0.8195)  0.00
O (0.7024, 0.6179, 0.1805)  0.00
O (0.9155, 0.2976, 0.1805)  0.00
O (0.3821, 0.0845, 0.1805)  0.00
F (0.3333, 0.6667, 0.5486)  0.00
F (0.6667, 0.3333, 0.4514)  0.00

Computed properties:
**M_tot**: 2.00 μB/cell
**Calculated density**: 2.8 g/cm3
**Uncorrected energy**: -63.063 eV per formula unit

***

(20)
This record from Alexandria via LeMat-Bulk describes a relaxed structure of SbMoOF9. The functional is PBE with a Hubbard U.

a = 7.6544 Å, b = 9.9184 Å, c = 10.6907 Å
α = 90.00°, β = 90.00°, γ = 93.26°
Fractional coordinates of all 48 atoms:
Sb (0.7862, 0.6906, 0.5176)
Sb (0.7138, 0.8094, 0.0176)
Sb (0.2138, 0.3094, 0.4824)
Sb (0.2862, 0.1906, 0.9824)
Mo (0.6268, 0.1630, 0.6876)
Mo (0.1268, 0.6630, 0.8124)
Mo (0.8732, 0.3370, 0.1876)
Mo (0.3732, 0.8370, 0.3124)
O (0.2077, 0.9185, 0.2505)
O (0.7077, 0.4185, 0.2495)
O (0.7923, 0.0815, 0.7495)
O (0.2923, 0.5815, 0.7505)
F (0.6715, 0.3375, 0.7477)
F (0.1352, 0.1251, 0.4750)
F (0.8749, 0.7801, 0.1475)
F (0.5315, 0.8489, 0.1519)
F (0.2195, 0.0041, 0.9818)
F (0.6352, 0.6251, 0.0250)
F (0.3285, 0.6625, 0.2523)
F (0.2904, 0.8041, 0.4723)
F (0.7195, 0.5041, 0.5182)
F (0.4729, 0.0194, 0.6404)
F (0.7805, 0.9959, 0.0182)
F (0.0405, 0.3416, 0.6035)
F (0.3749, 0.2801, 0.3525)
F (0.1251, 0.2199, 0.8525)
F (0.6143, 0.7250, 0.3872)
F (0.5405, 0.8416, 0.8965)
F (0.4595, 0.1584, 0.1035)
F (0.1144, 0.2250, 0.1128)
F (0.2805, 0.4959, 0.4818)
F (0.5271, 0.9806, 0.3596)
F (0.8285, 0.1625, 0.2477)
F (0.9729, 0.5194, 0.8596)
F (0.3856, 0.2750, 0.6128)
F (0.0315, 0.3489, 0.3481)
F (0.8856, 0.7750, 0.8872)
F (0.0271, 0.4806, 0.1404)
F (0.1715, 0.8375, 0.7523)
F (0.9595, 0.6584, 0.3965)
F (0.8648, 0.8749, 0.5250)
F (0.2096, 0.6959, 0.9723)
F (0.6251, 0.7199, 0.6475)
F (0.7096, 0.1959, 0.5277)
F (0.4685, 0.1511, 0.8481)
F (0.3648, 0.3749, 0.9750)
F (0.9685, 0.6511, 0.6519)
F (0.7904, 0.3041, 0.0277)

Computed properties:
**M_tot**: 0.00 μB/cell
**Calculated density**: 3.3 g/cm3
**Uncorrected energy**: -59.659 eV per formula unit